KSe2BrN: relaxed, PBE.

Cell: 4.256 4.256 8.665 Å, 90.00 90.00 90.00°
Fractional coordinates of all 5 atoms:
K 0.500 0.500 0.500
Se 0.000 0.500 0.000
Se 0.500 0.000 0.000
Br 0.000 0.000 0.500
N 0.000 0.000 0.000

Output
* energy above the most stable polymorph in this dataset: 0.000 eV per atom
* ΔE_f (raw): 0.18 eV/atom
* total magnetization: 0.00 Bohr magnetons per cell

---

MoRuPt2: relaxed, PBE.

Cell: 9.337 9.337 9.337 Å, 17.03 17.03 17.03°
Fractional coordinates of all 4 atoms:
Mo 0.753 0.753 0.753
Pt 0.003 0.003 0.003
Pt 0.248 0.248 0.248
Ru 0.497 0.497 0.497

Output
* ΔH_f (0 K): -10.4 kJ/mol of atoms
* energy above the most stable polymorph in this dataset: 0.084 eV per atom
* total magnetization: 0.00 Bohr magnetons per cell

---

TbDyTh2: relaxed, PBE.

Cell: 5.049 5.059 11.262 Å, 90.00 116.56 90.00°
Fractional coordinates of all 8 atoms:
Tb 0.871 0.750 0.371
Tb 0.129 0.250 0.629
Dy 0.371 0.250 0.371
Dy 0.629 0.750 0.629
Th 0.623 0.250 0.123
Th 0.377 0.750 0.877
Th 0.123 0.750 0.123
Th 0.877 0.250 0.877

Output
* ΔH_f (0 K): 2.9 kJ/mol of atoms
* energy above the most stable polymorph in this dataset: 0.000 eV per atom
* total magnetization: 0.00 Bohr magnetons per cell

---

NaSr12Ca7: relaxed, PBE.

Cell: 12.147 12.147 12.147 Å, 109.47 109.47 109.47°
Fractional coordinates of all 20 atoms:
Na 0.000 0.000 0.000
Sr 0.403 0.650 0.753
Sr 0.897 0.650 0.247
Sr 0.597 0.350 0.247
Sr 0.103 0.350 0.753
Sr 0.753 0.103 0.350
Sr 0.753 0.403 0.650
Sr 0.247 0.897 0.650
Sr 0.247 0.597 0.350
Sr 0.650 0.753 0.403
Sr 0.350 0.247 0.597
Sr 0.650 0.247 0.897
Sr 0.350 0.753 0.103
Ca 0.500 0.500 0.000
Ca 0.000 0.500 0.500
Ca 0.500 0.000 0.500
Ca 0.500 0.500 0.500
Ca 0.000 0.000 0.500
Ca 0.500 0.000 0.000
Ca 0.000 0.500 0.000

Output
* ΔH_f (0 K): 43.7 kJ/mol of atoms
* energy above the most stable polymorph in this dataset: 0.307 eV per atom
* total magnetization: 1.81 Bohr magnetons per cell

---

Rh2Pb3: relaxed, PBE.

Cell: 6.246 6.828 7.358 Å, 63.39 64.89 62.78°
Fractional coordinates of all 10 atoms:
Rh 0.793 0.853 0.012
Rh 0.658 0.647 0.488
Rh 0.342 0.353 0.512
Rh 0.207 0.147 0.988
Pb 0.212 0.607 0.770
Pb 0.588 0.893 0.730
Pb 0.899 0.250 0.750
Pb 0.101 0.750 0.250
Pb 0.412 0.107 0.270
Pb 0.788 0.393 0.230

Output
* ΔH_f (0 K): -4.5 kJ/mol of atoms
* total magnetization: 0.00 Bohr magnetons per cell

---

Tb6Y3Ho2Zr: relaxed, PBE.

Cell: 6.096 6.096 11.666 Å, 94.96 94.96 119.91°
Fractional coordinates of all 12 atoms:
Tb 0.919 0.591 0.757
Tb 0.754 0.754 0.243
Tb 0.081 0.409 0.243
Tb 0.591 0.919 0.757
Tb 0.246 0.246 0.757
Tb 0.409 0.081 0.243
Y 0.167 0.833 0.500
Y 0.833 0.167 0.500
Y 0.500 0.500 0.500
Ho 0.333 0.667 0.000
Ho 0.667 0.333 0.000
Zr 0.000 0.000 0.000

Output
* ΔH_f (0 K): 4.3 kJ/mol of atoms
* total magnetization: 0.00 Bohr magnetons per cell

---

CaMg3Au2: relaxed, PBE.

Cell: 4.282 7.264 8.547 Å, 90.00 90.00 90.00°
Fractional coordinates of all 12 atoms:
Ca 0.500 0.531 0.583
Ca 0.500 0.031 0.417
Mg 0.000 0.469 0.921
Mg 0.000 0.969 0.079
Mg 0.500 0.641 0.181
Mg 0.500 0.141 0.819
Mg 0.000 0.358 0.304
Mg 0.000 0.858 0.696
Au 0.500 0.766 0.884
Au 0.500 0.266 0.116
Au 0.000 0.236 0.627
Au 0.000 0.736 0.373

Output
* ΔH_f (0 K): -55.1 kJ/mol of atoms
* total magnetization: 0.00 Bohr magnetons per cell

---

Li5Ti2Cu3O10: relaxed, PBE.

Cell: 5.096 5.634 7.599 Å, 102.33 103.31 106.87°
Fractional coordinates of all 20 atoms:
Li 0.213 0.877 0.379
Li 0.400 0.322 0.802
Li 0.500 0.500 0.500
Li 0.600 0.678 0.198
Li 0.787 0.123 0.621
Ti 0.095 0.698 0.692
Ti 0.905 0.302 0.308
Cu 0.000 0.500 0.000
Cu 0.700 0.887 0.900
Cu 0.300 0.113 0.100
O 0.062 0.027 0.838
O 0.353 0.674 0.934
O 0.126 0.332 0.548
O 0.217 0.528 0.245
O 0.462 0.867 0.662
O 0.538 0.133 0.338
O 0.783 0.472 0.755
O 0.874 0.668 0.452
O 0.647 0.326 0.066
O 0.938 0.973 0.162

Output
* ΔE_f (raw): -1.86 eV/atom
* total magnetization: 0.00 Bohr magnetons per cell

---

> What is the total magnetization in the eighth record?

0.00 Bohr magnetons per cell